Record 1
VASP calculation (GGA-PBE) on a relaxed structure of Nd8Sm5Y.

```
14
Lattice="-4.900 4.900 5.168 4.900 -4.900 5.168 4.900 4.900 -5.168" Properties=species:S:1:pos:R:3 pbc="T T T"
Nd 4.071 1.767 -0.047
Nd 0.686 1.705 1.584
Nd 3.133 -0.830 5.215
Nd 1.767 5.730 0.047
Nd -3.195 4.214 3.583
Nd 0.830 3.133 5.121
Nd 3.195 5.587 3.583
Nd -0.686 8.095 1.584
Sm 2.862 -1.047 1.819
Sm 5.947 -2.038 3.349
Sm 6.938 1.047 1.819
Sm 3.853 2.038 3.349
Sm 0.000 4.900 2.584
Y 0.000 0.000 5.168
```

Computed properties:
The formation energy is 0.24 eV per atom. For the spin magnetization, the calculation gives 0.00 μB/cell. The space-group type is No. 82.

=====

Record 2
VASP calculation (GGA-PBE) on a relaxed structure of PmCd3Pt.

```
10
Lattice="5.520 0.000 0.000 0.000 5.819 0.000 -2.736 0.000 7.124" Properties=species:S:1:pos:R:3 pbc="T T T"
Pm -0.493 1.455 2.710
Pm 3.276 4.364 4.415
Cd -2.197 1.455 6.430
Cd 2.194 2.937 1.389
Cd 2.194 5.791 1.389
Cd 0.589 0.028 5.736
Cd 0.589 2.882 5.736
Cd 4.980 4.364 0.695
Pt 0.434 4.364 3.317
Pt 2.349 1.455 3.807
```

Computed properties:
The formation energy is -0.50 eV per atom. For the spin magnetization, the calculation gives 0.00 μB/cell. The space-group type is No. 11. Its relative energy among the computed polymorphs is 0.0000 eV/atom.

=====

Record 3
VASP calculation (GGA-PBE) on a relaxed structure of BaCd2Cl.

```
4
Lattice="-2.402 2.848 4.794 2.402 -2.848 4.794 2.402 2.848 -4.794" Properties=species:S:1:pos:R:3 pbc="T T T"
Ba 0.000 0.000 0.000
Cd 2.402 0.000 2.676
Cd 0.000 0.000 5.008
Cl 0.000 2.848 2.773
```

Computed properties:
For the spin magnetization, the calculation gives 0.00 μB/cell. The space-group type is No. 44. The raw formation energy comes out at -0.71 eV per atom. Its relative energy among the computed polymorphs is 0.1472 eV/atom.

=====

Record 4
VASP calculation (GGA-PBE) on a relaxed structure of Nb2GaPC.

```
5
Lattice="4.887 0.000 0.000 0.000 4.887 0.000 0.000 0.000 3.508" Properties=species:S:1:pos:R:3 pbc="T T T"
Nb 0.000 2.443 0.000
Nb 2.443 0.000 0.000
Ga 0.000 0.000 0.000
P 2.443 2.443 1.754
C 0.000 0.000 1.754
```

Computed properties:
The formation energy is 1.31 eV per atom. For the spin magnetization, the calculation gives 0.00 μB/cell. The space-group type is No. 123.

=====

Record 5
VASP calculation (GGA-PBE) on a relaxed structure of Tb3Al7Rh4.

```
14
Lattice="7.644 -2.134 0.000 7.644 2.134 0.000 -5.351 0.000 7.776" Properties=species:S:1:pos:R:3 pbc="T T T"
Tb 0.000 0.000 0.000
Tb 3.077 0.000 2.345
Tb 6.860 0.000 5.431
Al -2.675 0.000 3.888
Al 0.103 0.000 3.264
Al -0.402 0.000 7.595
Al 3.786 0.000 5.488
Al 6.152 0.000 2.287
Al 10.340 0.000 0.181
Al 9.835 0.000 4.512
Rh -2.796 0.000 6.473
Rh 1.307 0.000 5.563
Rh 8.631 0.000 2.213
Rh 12.734 0.000 1.303
```

Computed properties:
The formation energy is -0.82 eV per atom. For the spin magnetization, the calculation gives 0.00 μB/cell. The space-group type is No. 12.